[1]
Below is crystalline BeSiIr2 at its relaxed geometry, with properties calculated at the PBE level.

abc: 4.085 4.085 4.841
angles: 78.57 78.57 40.39
Positions (direct):
Be 0.750 0.750 0.750
Si 0.250 0.250 0.250
Ir 0.002 0.002 0.994
Ir 0.498 0.498 0.506

Summary:
The calculation puts the density of states at the Fermi level at 2.86 states/eV/cell. The symmetry is No. 12. The uncorrected formation energy is -0.37 eV per atom. The offset from the most stable computed form is 0.2828 eV per atom. Its magnetization is 0.000 μB per cell.

***

[2]
Below is crystalline Be4SiIr5 at its relaxed geometry, with properties calculated at the PBE level.

abc: 2.855 2.855 14.112
angles: 90.00 90.00 90.00
Positions (direct):
Be 0.000 0.000 0.215
Be 0.000 0.000 0.401
Be 0.000 0.000 0.599
Be 0.000 0.000 0.785
Si 0.000 0.000 0.000
Ir 0.500 0.500 0.103
Ir 0.500 0.500 0.303
Ir 0.500 0.500 0.500
Ir 0.500 0.500 0.697
Ir 0.500 0.500 0.897

Summary:
The calculation puts the density of states at the Fermi level at 5.73 states/eV/cell. The symmetry is No. 123. The uncorrected formation energy is -0.60 eV per atom. Its magnetization is 0.000 μB per cell.

***

[3]
Below is crystalline BeSiIr at its relaxed geometry, with properties calculated at the PBE level.

abc: 2.787 2.787 5.596
angles: 90.00 90.00 120.00
Positions (direct):
Be 0.000 0.000 0.004
Si 0.667 0.333 0.669
Ir 0.333 0.667 0.327

Summary:
The calculation puts the density of states at the Fermi level at 1.09 states/eV/cell. The symmetry is No. 156. The uncorrected formation energy is -0.16 eV per atom. The offset from the most stable computed form is 0.3892 eV per atom. Its magnetization is 0.000 μB per cell.

***

[4]
Below is crystalline Be2SiIr3 at its relaxed geometry, with properties calculated at the PBE level.

abc: 2.883 2.883 8.501
angles: 90.00 90.00 90.00
Positions (direct):
Be 0.500 0.500 0.855
Be 0.500 0.500 0.145
Si 0.500 0.500 0.500
Ir 0.000 0.000 0.000
Ir 0.000 0.000 0.669
Ir 0.000 0.000 0.331

Summary:
The calculation puts the density of states at the Fermi level at 0.99 states/eV/cell. The symmetry is No. 123. The uncorrected formation energy is -0.65 eV per atom. Its magnetization is 0.000 μB per cell.

***

[5]
Below is crystalline BeSiIr2 at its relaxed geometry, with properties calculated at the PBE level.

abc: 4.091 4.091 4.091
angles: 60.00 60.00 60.00
Positions (direct):
Be 0.000 0.000 0.000
Si 0.500 0.500 0.500
Ir 0.250 0.250 0.250
Ir 0.750 0.750 0.750

Summary:
The calculation puts the density of states at the Fermi level at 1.04 states/eV/cell. The symmetry is No. 225. The uncorrected formation energy is -0.65 eV per atom. The offset from the most stable computed form is 0.0000 eV per atom. Its magnetization is 0.000 μB per cell.

***

[6]
Below is crystalline Be4SiIr at its relaxed geometry, with properties calculated at the PBE level.

abc: 4.327 4.327 4.327
angles: 60.00 60.00 60.00
Positions (direct):
Be 0.624 0.128 0.624
Be 0.128 0.624 0.624
Be 0.624 0.624 0.624
Be 0.624 0.624 0.128
Ir 0.250 0.250 0.250
Si 0.000 0.000 0.000

Summary:
The calculation puts the density of states at the Fermi level at 1.82 states/eV/cell. The symmetry is No. 216. The uncorrected formation energy is -0.34 eV per atom. Its magnetization is 0.000 μB per cell.

***

[7]
Below is crystalline Be2SiIr2 at its relaxed geometry, with properties calculated at the PBE level.

abc: 6.439 6.439 2.760
angles: 90.00 90.00 90.00
Positions (direct):
Be 0.384 0.884 0.000
Be 0.884 0.616 0.000
Be 0.616 0.116 0.000
Be 0.116 0.384 0.000
Si 0.000 0.000 0.000
Si 0.500 0.500 0.000
Ir 0.180 0.680 0.500
Ir 0.680 0.820 0.500
Ir 0.820 0.320 0.500
Ir 0.320 0.180 0.500

Summary:
The calculation puts the density of states at the Fermi level at 3.54 states/eV/cell. The symmetry is No. 127. The uncorrected formation energy is -0.34 eV per atom. The offset from the most stable computed form is 0.0862 eV per atom. Its magnetization is 0.000 μB per cell.

***

[8]
Below is crystalline BeSiIr2 at its relaxed geometry, with properties calculated at the PBE level.

abc: 7.522 7.522 7.522
angles: 21.75 21.75 21.75
Positions (direct):
Be 0.750 0.750 0.750
Si 0.250 0.250 0.250
Ir 0.001 0.001 0.001
Ir 0.499 0.499 0.499

Summary:
The calculation puts the density of states at the Fermi level at 1.94 states/eV/cell. The symmetry is No. 166. The uncorrected formation energy is -0.34 eV per atom. The offset from the most stable computed form is 0.3093 eV per atom. Its magnetization is 0.000 μB per cell.

***

[9]
Below is crystalline BeSiIr2 at its relaxed geometry, with properties calculated at the PBE level.

abc: 2.735 2.735 8.238
angles: 90.00 90.00 119.45
Positions (direct):
Be 0.500 0.500 0.751
Si 0.000 0.000 0.510
Ir 0.000 0.000 0.968
Ir 0.500 0.500 0.271

Summary:
The calculation puts the density of states at the Fermi level at 3.19 states/eV/cell. The symmetry is No. 35. The uncorrected formation energy is 0.09 eV per atom. The offset from the most stable computed form is 0.7382 eV per atom. Its magnetization is 0.000 μB per cell.

***

[10]
Below is crystalline BeSiIr2 at its relaxed geometry, with properties calculated at the PBE level.

abc: 2.979 2.979 5.679
angles: 90.00 90.00 90.00
Positions (direct):
Be 0.500 0.500 0.755
Si 0.000 0.000 0.515
Ir 0.000 0.000 0.927
Ir 0.500 0.500 0.303

Summary:
The calculation puts the density of states at the Fermi level at 1.56 states/eV/cell. The symmetry is No. 99. The uncorrected formation energy is -0.48 eV per atom. The offset from the most stable computed form is 0.1688 eV per atom. Its magnetization is 0.000 μB per cell.

***

[11]
Below is crystalline BeSiIr2 at its relaxed geometry, with properties calculated at the PBE level.

abc: 5.105 5.105 5.105
angles: 147.66 134.08 57.28
Positions (direct):
Be 0.241 0.741 0.500
Si 0.504 0.504 0.000
Ir 0.016 0.016 0.000
Ir 0.739 0.239 0.500

Summary:
The calculation puts the density of states at the Fermi level at 2.40 states/eV/cell. The symmetry is No. 44. The uncorrected formation energy is -0.36 eV per atom. The offset from the most stable computed form is 0.2943 eV per atom. Its magnetization is 0.000 μB per cell.

***

[12]
Below is crystalline Be2SiIr2 at its relaxed geometry, with properties calculated at the PBE level.

abc: 6.464 6.464 2.917
angles: 90.00 90.00 90.00
Positions (direct):
Be 0.130 0.630 0.500
Be 0.630 0.870 0.500
Be 0.870 0.370 0.500
Be 0.370 0.130 0.500
Si 0.000 0.000 0.000
Si 0.500 0.500 0.000
Ir 0.336 0.836 0.000
Ir 0.836 0.664 0.000
Ir 0.664 0.164 0.000
Ir 0.164 0.336 0.000

Summary:
The calculation puts the density of states at the Fermi level at 4.88 states/eV/cell. The symmetry is No. 127. The uncorrected formation energy is -0.40 eV per atom. The offset from the most stable computed form is 0.0267 eV per atom. Its magnetization is 0.000 μB per cell.

***

[13]
Below is crystalline BeSiIr2 at its relaxed geometry, with properties calculated at the PBE level.

abc: 4.092 2.838 4.434
angles: 90.01 90.00 90.00
Positions (direct):
Be 0.500 0.875 0.706
Si 0.000 0.375 0.548
Ir 0.000 0.875 0.982
Ir 0.500 0.375 0.264

Summary:
The calculation puts the density of states at the Fermi level at 1.07 states/eV/cell. The symmetry is No. 25. The uncorrected formation energy is -0.44 eV per atom. The offset from the most stable computed form is 0.2068 eV per atom. Its magnetization is 0.000 μB per cell.

***

[14]
Below is crystalline Be3SiIr4 at its relaxed geometry, with properties calculated at the PBE level.

abc: 4.026 4.026 6.369
angles: 108.37 108.43 90.00
Positions (direct):
Be 0.000 0.500 0.000
Be 0.756 0.256 0.513
Be 0.244 0.744 0.487
Si 0.500 0.000 0.000
Ir 0.373 0.373 0.747
Ir 0.627 0.627 0.253
Ir 0.127 0.127 0.253
Ir 0.873 0.873 0.747

Summary:
The calculation puts the density of states at the Fermi level at 2.06 states/eV/cell. The symmetry is No. 139. The uncorrected formation energy is -0.69 eV per atom. Its magnetization is 0.000 μB per cell.

***

[15]
Below is crystalline BeSiIr3 at its relaxed geometry, with properties calculated at the PBE level.

abc: 4.107 4.107 4.107
angles: 90.00 90.00 90.00
Positions (direct):
Be 0.000 0.000 0.000
Si 0.500 0.500 0.500
Ir 0.000 0.500 0.000
Ir 0.000 0.000 0.500
Ir 0.500 0.000 0.000

Summary:
The calculation puts the density of states at the Fermi level at 2.81 states/eV/cell. The symmetry is No. 221. The uncorrected formation energy is 0.35 eV per atom. The offset from the most stable computed form is 0.0000 eV per atom. Its magnetization is 0.000 μB per cell.

***

[16]
Below is crystalline BeSiIr at its relaxed geometry, with properties calculated at the PBE level.

abc: 6.293 5.979 2.767
angles: 83.40 70.70 25.90
Positions (direct):
Be 0.999 0.999 0.001
Si 0.662 0.662 0.338
Ir 0.339 0.339 0.661

Summary:
The calculation puts the density of states at the Fermi level at 0.71 states/eV/cell. The symmetry is No. 42. The uncorrected formation energy is 0.03 eV per atom. The offset from the most stable computed form is 0.5743 eV per atom. Its magnetization is 0.000 μB per cell.

***

[17]
Below is crystalline BeSiIr at its relaxed geometry, with properties calculated at the PBE level.

abc: 3.914 3.914 3.914
angles: 60.00 60.00 60.00
Positions (direct):
Be 0.500 0.500 0.500
Si 0.000 0.000 0.000
Ir 0.750 0.750 0.750

Summary:
The calculation puts the density of states at the Fermi level at 1.44 states/eV/cell. The symmetry is No. 216. The uncorrected formation energy is -0.38 eV per atom. The offset from the most stable computed form is 0.1645 eV per atom. Its magnetization is 0.000 μB per cell.

***

[18]
Below is crystalline BeSiIr at its relaxed geometry, with properties calculated at the PBE level.

abc: 3.871 3.871 3.871
angles: 60.00 60.00 60.00
Positions (direct):
Be 0.000 0.000 0.000
Si 0.750 0.750 0.750
Ir 0.500 0.500 0.500

Summary:
The calculation puts the density of states at the Fermi level at 2.57 states/eV/cell. The symmetry is No. 216. The uncorrected formation energy is -0.24 eV per atom. The offset from the most stable computed form is 0.3091 eV per atom. Its magnetization is 0.000 μB per cell.

***

[19]
Below is crystalline Sm2Be4Si3Ir at its relaxed geometry, with properties calculated at the PBE level.

abc: 3.860 3.860 9.984
angles: 90.00 90.00 90.00
Positions (direct):
Sm 0.500 0.000 0.244
Sm 0.000 0.500 0.756
Be 0.500 0.500 0.000
Be 0.000 0.000 0.000
Be 0.500 0.000 0.633
Be 0.000 0.500 0.367
Si 0.000 0.000 0.500
Si 0.500 0.000 0.870
Si 0.000 0.500 0.130
Ir 0.500 0.500 0.500

Summary:
The calculation puts the density of states at the Fermi level at 5.27 states/eV/cell. The symmetry is No. 115. The uncorrected formation energy is -0.52 eV per atom. Its magnetization is 0.000 μB per cell.

***

[20]
Below is crystalline Sm2BeSi3Ir4 at its relaxed geometry, with properties calculated at the PBE level.

abc: 4.134 4.134 9.837
angles: 90.00 90.00 90.00
Positions (direct):
Sm 0.500 0.000 0.257
Sm 0.000 0.500 0.743
Be 0.500 0.500 0.500
Si 0.000 0.000 0.500
Si 0.500 0.000 0.868
Si 0.000 0.500 0.132
Ir 0.500 0.500 0.000
Ir 0.000 0.000 0.000
Ir 0.500 0.000 0.623
Ir 0.000 0.500 0.377

Summary:
The calculation puts the density of states at the Fermi level at 8.17 states/eV/cell. The symmetry is No. 115. The uncorrected formation energy is -0.97 eV per atom. Its magnetization is 0.000 μB per cell.

***

[21]
Below is crystalline SmBeSi2Ir at its relaxed geometry, with properties calculated at the PBE level.

abc: 3.947 3.947 5.882
angles: 109.61 109.61 90.00
Positions (direct):
Sm 0.000 0.000 0.000
Be 0.750 0.250 0.500
Si 0.619 0.619 0.238
Si 0.381 0.381 0.762
Ir 0.250 0.750 0.500

Summary:
The calculation puts the density of states at the Fermi level at 2.41 states/eV/cell. The symmetry is No. 119. The uncorrected formation energy is -0.74 eV per atom. Its magnetization is 0.000 μB per cell.

***

[22]
Below is crystalline SmBe2SiIr at its relaxed geometry, with properties calculated at the PBE level.

abc: 3.932 3.879 5.747
angles: 109.72 110.00 90.00
Positions (direct):
Sm 0.444 0.444 0.888
Be 0.692 0.192 0.383
Be 0.068 0.068 0.136
Si 0.821 0.821 0.643
Ir 0.187 0.687 0.374

Summary:
The calculation puts the density of states at the Fermi level at 2.18 states/eV/cell. The symmetry is No. 44. The uncorrected formation energy is -0.53 eV per atom. Its magnetization is 0.000 μB per cell.

***

[23]
Below is crystalline Sm2Be3Si4Ir at its relaxed geometry, with properties calculated at the PBE level.

abc: 3.955 3.955 9.902
angles: 90.00 90.00 90.00
Positions (direct):
Sm 0.500 0.000 0.241
Sm 0.000 0.500 0.759
Be 0.000 0.000 0.500
Be 0.500 0.000 0.871
Be 0.000 0.500 0.129
Si 0.500 0.500 0.000
Si 0.000 0.000 0.000
Si 0.500 0.000 0.636
Si 0.000 0.500 0.364
Ir 0.500 0.500 0.500

Summary:
The calculation puts the density of states at the Fermi level at 5.64 states/eV/cell. The symmetry is No. 115. The uncorrected formation energy is -0.53 eV per atom. Its magnetization is 0.000 μB per cell.

***

[24]
Below is crystalline SrBeSi2Ir at its relaxed geometry, with properties calculated at the PBE level.

abc: 4.039 4.039 6.024
angles: 109.59 109.59 90.00
Positions (direct):
Sr 0.000 0.000 0.000
Be 0.750 0.250 0.500
Si 0.628 0.628 0.255
Si 0.372 0.372 0.745
Ir 0.250 0.750 0.500

Summary:
The calculation puts the density of states at the Fermi level at 2.70 states/eV/cell. The symmetry is No. 119. The uncorrected formation energy is -0.46 eV per atom. Its magnetization is 0.000 μB per cell.

***

[25]
Below is crystalline TbBe2SiIr at its relaxed geometry, with properties calculated at the PBE level.

abc: 3.869 3.832 5.710
angles: 109.61 109.80 90.00
Positions (direct):
Tb 0.445 0.445 0.889
Be 0.692 0.192 0.383
Be 0.064 0.064 0.128
Si 0.826 0.826 0.651
Ir 0.186 0.686 0.373

Summary:
The calculation puts the density of states at the Fermi level at 2.42 states/eV/cell. The symmetry is No. 44. The uncorrected formation energy is -0.56 eV per atom. Its magnetization is 0.000 μB per cell.

***

[26]
Below is crystalline Tb2BeSi4Ir3 at its relaxed geometry, with properties calculated at the PBE level.

abc: 4.071 4.071 10.035
angles: 90.00 90.00 90.00
Positions (direct):
Tb 0.500 0.000 0.251
Tb 0.000 0.500 0.749
Be 0.500 0.500 0.500
Si 0.500 0.500 0.000
Si 0.000 0.000 0.000
Si 0.500 0.000 0.632
Si 0.000 0.500 0.368
Ir 0.000 0.000 0.500
Ir 0.500 0.000 0.871
Ir 0.000 0.500 0.129

Summary:
The calculation puts the density of states at the Fermi level at 5.92 states/eV/cell. The symmetry is No. 115. The uncorrected formation energy is -0.87 eV per atom. Its magnetization is 0.000 μB per cell.

***

[27]
Below is crystalline Be2SiTcIr at its relaxed geometry, with properties calculated at the PBE level.

abc: 4.137 4.518 4.137
angles: 90.00 90.00 90.00
Site moments in Bohr magnetons follow the coordinates.
Positions (direct):
Be 0.000 0.000 0.500  -0.03
Be 0.500 0.000 0.000  -0.02
Si 0.000 0.500 0.000  0.00
Ir 0.000 0.000 0.000  0.10
Tc 0.500 0.500 0.500  2.20

Summary:
The calculation puts the density of states at the Fermi level at 3.04 states/eV/cell. The symmetry is No. 123. The uncorrected formation energy is 0.62 eV per atom. Its magnetization is 2.415 μB per cell.